Material: TaVIrF2
Method: DFT, GGA+U
State: optimized geometry

Calculated values
- Final energy: -35.520 eV per cell
- Symmetry: P4/mmm, No. 123
- Crystal system: tetragonal

a b c (Å): 3.7449 6.4233 3.7449
angles (deg): 90.00 90.00 90.00
Fractional coordinates of all 5 atoms:
V (0.0000, 0.0000, 0.0000)
Ta (0.0000, 0.5000, 0.0000)
Ir (0.5000, 0.5000, 0.5000)
F (0.5000, 0.0000, 0.0000)
F (0.0000, 0.0000, 0.5000)